A plane-wave DFT calculation with GGA+U was carried out for crystalline SrCaCrF6 at its relaxed geometry.

abc: 5.908 5.908 9.482
angles: 90.00 90.00 120.00
Each line ends with the local moment (μB).
Element x y z (fractional)
Sr 0.333 0.667 0.250  0.00
Sr 0.667 0.333 0.750  0.00
Ca 0.000 0.000 0.000  0.01
Ca 0.000 0.000 0.500  0.01
Cr 0.667 0.333 0.250  3.83
Cr 0.333 0.667 0.750  3.83
F 0.689 0.651 0.129  0.00
F 0.962 0.311 0.129  0.00
F 0.311 0.962 0.629  0.00
F 0.038 0.689 0.871  0.00
F 0.349 0.311 0.371  0.00
F 0.962 0.651 0.371  0.00
F 0.651 0.962 0.871  0.00
F 0.689 0.038 0.371  0.00
F 0.038 0.349 0.629  0.00
F 0.349 0.038 0.129  0.00
F 0.651 0.689 0.629  0.00
F 0.311 0.349 0.871  0.00

Properties
The density of states at the Fermi level is 6.659 states/eV/f.u. For the calculated total energy, the calculation gives -5.82 eV per atom. As for the spin magnetization: 8.00 μB per cell.